[1]
Computed, not measured: crystalline ScP2SN at its relaxed geometry at the PBE-GGA level of DFT.

Cell lengths 5.021, 5.021, 4.858 Å; angles 90.00, 90.00, 90.00 degrees
Sites, in units of the cell vectors:
Sc 0.000 0.000 0.000
P 0.000 0.500 0.000
P 0.500 0.000 0.000
S 0.000 0.000 0.500
N 0.500 0.500 0.500

Output
Formation energy without anion corrections in eV/f.u.: 6.4
N(E_F) in states/eV/atom: 0.77
Relative energy among the computed polymorphs in eV per atom: 1.040
Space group: P4/mmm
Calculated density in g/cm³: 2.07

[2]
Computed, not measured: crystalline CeGa4Ni4 at its relaxed geometry at the PBE-GGA level of DFT.

Cell lengths 4.542, 8.143, 8.143 Å; angles 90.00, 90.00, 90.00 degrees
Sites, in units of the cell vectors:
Ni 0.000 0.825 0.698
Ni 0.000 0.698 0.175
Ni 0.500 0.675 0.802
Ni 0.500 0.802 0.325
Ni 0.000 0.175 0.302
Ni 0.500 0.325 0.198
Ni 0.500 0.198 0.675
Ni 0.000 0.302 0.825
Ga 0.000 0.398 0.124
Ga 0.500 0.376 0.898
Ga 0.000 0.602 0.876
Ga 0.000 0.124 0.602
Ga 0.500 0.624 0.102
Ga 0.500 0.102 0.376
Ga 0.000 0.876 0.398
Ga 0.500 0.898 0.624
Ce 0.500 0.500 0.500
Ce 0.000 0.000 0.000

Output
N(E_F) in states/eV/atom: 1.03
Space group: I4/m
Energy of formation in eV per atom: -0.29
Calculated density in g/cm³: 7.21

[3]
Computed, not measured: crystalline CSeF at its relaxed geometry at the PBE-GGA level of DFT.

Cell lengths 4.839, 5.029, 5.600 Å; angles 89.73, 78.30, 84.48 degrees
Sites, in units of the cell vectors:
C 0.155 0.696 0.767
C 0.064 0.458 0.723
Se 0.440 0.878 0.566
Se 0.159 0.247 0.433
F 0.039 0.816 0.987
F 0.871 0.360 0.907

Output
Formation energy without anion corrections in eV/f.u.: -1.0
N(E_F) in states/eV/atom: 0.00
Relative energy among the computed polymorphs in eV per atom: 0.000
Space group: P1
Calculated density in g/cm³: 2.75

[4]
Computed, not measured: crystalline Pr5In2O2 at its relaxed geometry at the PBE-GGA level of DFT.

Cell lengths 7.164, 7.120, 10.976 Å; angles 108.92, 109.05, 90.00 degrees
Sites, in units of the cell vectors:
Pr 0.569 0.647 0.274
Pr 0.001 0.510 0.500
Pr 0.240 0.249 0.979
Pr 0.240 0.749 0.979
Pr 0.794 0.872 0.726
Pr 0.206 0.147 0.274
Pr 0.760 0.770 0.021
Pr 0.999 0.010 0.500
Pr 0.760 0.270 0.021
Pr 0.431 0.372 0.726
In 0.647 0.135 0.250
In 0.353 0.885 0.750
In 0.896 0.385 0.750
In 0.104 0.635 0.250
O 0.224 0.260 0.500
O 0.776 0.760 0.500
O 0.000 0.009 0.000
O 0.500 0.509 0.000

Output
Formation energy without anion corrections in eV/f.u.: -12.6
N(E_F) in states/eV/atom: 0.47
Space group: Ima2
Calculated density in g/cm³: 6.46

Number 1: total magnetization 0.378 μB/atom. Number 2: total magnetization 0.076 μB/atom. Number 3: total magnetization 0.000 μB/atom. Number 4: total magnetization 0.000 μB/atom.